Entry 1:
VASP calculation (PBE) on an optimized crystal structure of Ta2InNi.

Summary:
- DFT formation energy (meV/atom) = 203
- VASP energy (eV/atom) = -7.85

CIF file:
```
data_Ta2InNi
_chemical_formula_sum 'Ta4 In2 Ni2'
_cell_length_a 3.9786
_cell_length_b 3.9786
_cell_length_c 8.6930
_cell_angle_alpha 90.00
_cell_angle_beta 90.00
_cell_angle_gamma 90.00
_space_group_name_H-M_alt 'I -4 m 2'
_space_group_IT_number 119
_space_group_name_Hall 'I -4 -2'
loop_
_atom_site_label
_atom_site_type_symbol
_atom_site_fract_x
_atom_site_fract_y
_atom_site_fract_z
Ta1 Ta 0.0000 0.0000 0.0000
Ta2 Ta 0.0000 0.5000 0.2500
In1 In 0.0000 0.5000 0.7500
Ni1 Ni 0.0000 0.0000 0.5000
```

Entry 2:
VASP calculation (PBE) on an optimized crystal structure of NaHg2Sb.

Summary:
- formation energy from raw total energies (meV/atom) = -85
- VASP energy (eV/atom) = -1.60

CIF file:
```
data_NaHg2Sb
_chemical_formula_sum 'Na2 Hg4 Sb2'
_cell_length_a 3.1875
_cell_length_b 5.6534
_cell_length_c 13.0433
_cell_angle_alpha 90.00
_cell_angle_beta 90.00
_cell_angle_gamma 90.00
_space_group_name_H-M_alt 'I m m m'
_space_group_IT_number 71
_space_group_name_Hall '-I 2 2'
loop_
_atom_site_label
_atom_site_type_symbol
_atom_site_fract_x
_atom_site_fract_y
_atom_site_fract_z
Na1 Na 0.0000 0.0000 0.0000
Hg1 Hg 0.0000 0.0000 0.2685
Sb1 Sb 0.0000 0.0000 0.5000
```

Entry 3:
VASP calculation (PBE) on an optimized crystal structure of Pr2Dy3Sc2.

Summary:
- DFT formation energy (meV/atom) = 35
- distance to the lowest polymorph of the same formula (meV per atom) = 0
- VASP energy (eV/atom) = -5.11

CIF file:
```
data_Pr2Dy3Sc2
_chemical_formula_sum 'Pr4 Dy6 Sc4'
_cell_length_a 5.2398
_cell_length_b 23.5886
_cell_length_c 3.4892
_cell_angle_alpha 90.00
_cell_angle_beta 90.00
_cell_angle_gamma 90.00
_space_group_name_H-M_alt 'C m m m'
_space_group_IT_number 65
_space_group_name_Hall '-C 2 2'
loop_
_atom_site_label
_atom_site_type_symbol
_atom_site_fract_x
_atom_site_fract_y
_atom_site_fract_z
Pr1 Pr 0.0000 0.0765 0.0000
Dy1 Dy 0.0000 0.3416 0.5000
Dy2 Dy 0.0000 0.5000 0.5000
Sc1 Sc 0.0000 0.2170 0.0000
```

Entry 4:
VASP calculation (PBE) on an optimized crystal structure of Pr8Si3RhCl4.

Summary:
- formation energy from raw total energies (meV/atom) = -1148
- VASP energy (eV/atom) = -5.48

CIF file:
```
data_Pr8Si3RhCl4
_chemical_formula_sum 'Pr16 Si6 Rh2 Cl8'
_cell_length_a 14.7909
_cell_length_b 8.5377
_cell_length_c 8.5827
_cell_angle_alpha 90.00
_cell_angle_beta 125.07
_cell_angle_gamma 90.00
_space_group_name_H-M_alt 'C 1 2/m 1'
_space_group_IT_number 12
_space_group_name_Hall '-C 2y'
loop_
_atom_site_label
_atom_site_type_symbol
_atom_site_fract_x
_atom_site_fract_y
_atom_site_fract_z
Pr1 Pr 0.0084 0.2456 0.2796
Pr2 Pr 0.2382 0.0000 0.7213
Pr3 Pr 0.2430 0.5000 0.7292
Si1 Si 0.0000 0.5000 0.5000
Si2 Si 0.2500 0.2500 0.5000
Rh1 Rh 0.0000 0.0000 0.5000
Cl1 Cl 0.0000 0.0000 0.0000
Cl2 Cl 0.0000 0.5000 0.0000
Cl3 Cl 0.2500 0.2500 0.0000
```

Entry 5:
VASP calculation (PBE) on an optimized crystal structure of KTeHN2.

Summary:
- distance to the lowest polymorph of the same formula (meV per atom) = 763
- VASP energy (eV/atom) = -2.43

CIF file:
```
data_KTeHN2
_chemical_formula_sum 'K1 Te1 H1 N2'
_cell_length_a 5.5268
_cell_length_b 5.5268
_cell_length_c 7.1702
_cell_angle_alpha 90.00
_cell_angle_beta 90.00
_cell_angle_gamma 90.00
_space_group_name_H-M_alt 'P 4/m m m'
_space_group_IT_number 123
_space_group_name_Hall '-P 4 2'
loop_
_atom_site_label
_atom_site_type_symbol
_atom_site_fract_x
_atom_site_fract_y
_atom_site_fract_z
K1 K 0.0000 0.0000 0.0000
Te1 Te 0.0000 0.0000 0.5000
H1 H 0.5000 0.5000 0.5000
N1 N 0.0000 0.5000 0.0000
```

Entry 6:
VASP calculation (PBE) on an optimized crystal structure of MnMo2Ru.

Summary:
- DFT formation energy (meV/atom) = 180
- distance to the lowest polymorph of the same formula (meV per atom) = 111
- VASP energy (eV/atom) = -9.85

CIF file:
```
data_MnMo2Ru
_chemical_formula_sum 'Mn2 Mo4 Ru2'
_cell_length_a 3.8480
_cell_length_b 3.8480
_cell_length_c 7.8227
_cell_angle_alpha 90.00
_cell_angle_beta 90.00
_cell_angle_gamma 90.00
_space_group_name_H-M_alt 'I -4 m 2'
_space_group_IT_number 119
_space_group_name_Hall 'I -4 -2'
loop_
_atom_site_label
_atom_site_type_symbol
_atom_site_fract_x
_atom_site_fract_y
_atom_site_fract_z
Mn1 Mn 0.0000 0.0000 0.0000
Mo1 Mo 0.0000 0.0000 0.5000
Mo2 Mo 0.0000 0.5000 0.7500
Ru1 Ru 0.0000 0.5000 0.2500
```

Entry 7:
VASP calculation (PBE) on an optimized crystal structure of SrLa3Ir.

Summary:
- DFT formation energy (meV/atom) = 1461
- distance to the lowest polymorph of the same formula (meV per atom) = 1783
- VASP energy (eV/atom) = -3.60

CIF file:
```
data_SrLa3Ir
_chemical_formula_sum 'Sr1 La3 Ir1'
_cell_length_a 5.5203
_cell_length_b 5.5203
_cell_length_c 5.5203
_cell_angle_alpha 90.00
_cell_angle_beta 90.00
_cell_angle_gamma 90.00
_space_group_name_H-M_alt 'P m -3 m'
_space_group_IT_number 221
_space_group_name_Hall '-P 4 2 3'
loop_
_atom_site_label
_atom_site_type_symbol
_atom_site_fract_x
_atom_site_fract_y
_atom_site_fract_z
Sr1 Sr 0.0000 0.0000 0.0000
La1 La 0.0000 0.0000 0.5000
Ir1 Ir 0.5000 0.5000 0.5000
```

Entry 8:
VASP calculation (PBE) on an optimized crystal structure of Tb8AlIr2.

Summary:
- DFT formation energy (meV/atom) = -371
- VASP energy (eV/atom) = -5.69

CIF file:
```
data_Tb8AlIr2
_chemical_formula_sum 'Tb16 Al2 Ir4'
_cell_length_a 8.7464
_cell_length_b 13.2011
_cell_length_c 5.4452
_cell_angle_alpha 90.00
_cell_angle_beta 103.80
_cell_angle_gamma 90.00
_space_group_name_H-M_alt 'C 1 2/m 1'
_space_group_IT_number 12
_space_group_name_Hall '-C 2y'
loop_
_atom_site_label
_atom_site_type_symbol
_atom_site_fract_x
_atom_site_fract_y
_atom_site_fract_z
Tb1 Tb 0.0000 0.2450 0.0000
Tb2 Tb 0.1190 0.5000 0.8040
Tb3 Tb 0.1973 0.1286 0.5762
Al1 Al 0.0000 0.0000 0.0000
Ir1 Ir 0.0000 0.3110 0.5000
```

Entry 9:
VASP calculation (PBE) on an optimized crystal structure of NaEuAu2.

Summary:
- DFT formation energy (meV/atom) = -564
- VASP energy (eV/atom) = -5.10

CIF file:
```
data_NaEuAu2
_chemical_formula_sum 'Na1 Eu1 Au2'
_cell_length_a 3.7215
_cell_length_b 3.7215
_cell_length_c 6.8970
_cell_angle_alpha 90.00
_cell_angle_beta 90.00
_cell_angle_gamma 90.00
_space_group_name_H-M_alt 'P 4/m m m'
_space_group_IT_number 123
_space_group_name_Hall '-P 4 2'
loop_
_atom_site_label
_atom_site_type_symbol
_atom_site_fract_x
_atom_site_fract_y
_atom_site_fract_z
Na1 Na 0.0000 0.0000 0.0000
Eu1 Eu 0.0000 0.0000 0.5000
Au1 Au 0.5000 0.5000 0.2323
```

Entry 10:
VASP calculation (PBE) on an optimized crystal structure of Ac3Mg4Tl4.

Summary:
- DFT formation energy (meV/atom) = -318
- VASP energy (eV/atom) = -2.88

CIF file:
```
data_Ac3Mg4Tl4
_chemical_formula_sum 'Ac6 Mg8 Tl8'
_cell_length_a 4.9975
_cell_length_b 7.9578
_cell_length_c 16.3999
_cell_angle_alpha 90.00
_cell_angle_beta 90.00
_cell_angle_gamma 90.00
_space_group_name_H-M_alt 'I m m m'
_space_group_IT_number 71
_space_group_name_Hall '-I 2 2'
loop_
_atom_site_label
_atom_site_type_symbol
_atom_site_fract_x
_atom_site_fract_y
_atom_site_fract_z
Ac1 Ac 0.0000 0.0000 0.0000
Ac2 Ac 0.0000 0.5000 0.1227
Mg1 Mg 0.0000 0.3092 0.3284
Tl1 Tl 0.0000 0.0000 0.2191
Tl2 Tl 0.0000 0.1984 0.5000
```

Entry 11:
VASP calculation (PBE) on an optimized crystal structure of BeCu2RuBr.

Summary:
- formation energy from raw total energies (meV/atom) = 1050
- VASP energy (eV/atom) = -3.52

CIF file:
```
data_BeCu2RuBr
_chemical_formula_sum 'Be1 Cu2 Ru1 Br1'
_cell_length_a 4.0978
_cell_length_b 4.0978
_cell_length_c 4.4751
_cell_angle_alpha 90.00
_cell_angle_beta 90.00
_cell_angle_gamma 90.00
_space_group_name_H-M_alt 'P 4/m m m'
_space_group_IT_number 123
_space_group_name_Hall '-P 4 2'
loop_
_atom_site_label
_atom_site_type_symbol
_atom_site_fract_x
_atom_site_fract_y
_atom_site_fract_z
Be1 Be 0.0000 0.0000 0.0000
Cu1 Cu 0.0000 0.5000 0.0000
Ru1 Ru 0.5000 0.5000 0.5000
Br1 Br 0.0000 0.0000 0.5000
```

Entry 12:
VASP calculation (PBE) on an optimized crystal structure of PrSmYHo.

Summary:
- DFT formation energy (meV/atom) = 111
- distance to the lowest polymorph of the same formula (meV per atom) = 91
- VASP energy (eV/atom) = -5.02

CIF file:
```
data_PrSmYHo
_chemical_formula_sum 'Pr4 Sm4 Y4 Ho4'
_cell_length_a 8.1300
_cell_length_b 8.1300
_cell_length_c 8.1300
_cell_angle_alpha 90.00
_cell_angle_beta 90.00
_cell_angle_gamma 90.00
_space_group_name_H-M_alt 'F -4 3 m'
_space_group_IT_number 216
_space_group_name_Hall 'F -4 2 3'
loop_
_atom_site_label
_atom_site_type_symbol
_atom_site_fract_x
_atom_site_fract_y
_atom_site_fract_z
Pr1 Pr 0.0000 0.0000 0.0000
Sm1 Sm 0.0000 0.0000 0.5000
Y1 Y 0.2500 0.2500 0.7500
Ho1 Ho 0.2500 0.2500 0.2500
```